First-principles (PBE-GGA) data for a relaxed TbNd2Dy3Y6 crystal, as listed in Alexandria via LeMat-Bulk.

Lattice parameters (Å, degrees): 6.208 10.745 11.848 90.00 100.01 90.00
Space group C2/m (No. 12)
Asymmetric unit:
Tb  0.000  0.000  0.000 x2
Nd  0.000  0.333  0.000 x4
Dy  0.000  0.167  0.500 x4
Dy  0.000  0.500  0.500 x2
Y  0.248  0.000  0.747 x4
Y  0.249  0.334  0.748 x8

Results
N(E_F) = 33.26 states/eV/cell
E_tot = -133.09 eV/cell